VASP calculation (PBE) on crystalline KSi2Pt at its relaxed geometry.

Computed properties:
- magnetization (μB per atom) = 0.000
- density of states at the Fermi level (states/eV per cell) = 1.282
- raw formation energy (eV per atom) = -0.02
- calculated density (Mg/m³) = 6.0

```
KSi2Pt
1.0
3.027 0.000 0.000
0.000 3.429 0.000
0.000 0.000 7.739
K Si Pt
1 2 1
Cartesian
0.000 0.000 0.000 K
0.000 0.000 3.747 Si
1.513 1.715 5.204 Si
1.513 1.715 2.675 Pt
```